Record 1
# PBE Y2BePd, relaxed
# **Space-group type**: No. 139
# **Calculated formation energy**: -63 meV/atom
# **Total magnetization**: 0.6 μB/cell
# **D(E_F)**: 7.66 states/eV/cell
data_Y2BePd
_space_group_name_H-M_alt 'P 1'
_space_group_IT_number 1
_space_group_name_Hall 'P 1'
_cell_length_a 3.3606
_cell_length_b 3.3606
_cell_length_c 16.1832
_cell_angle_alpha 90.00
_cell_angle_beta 90.00
_cell_angle_gamma 90.00
loop_
_atom_site_label
_atom_site_type_symbol
_atom_site_fract_x
_atom_site_fract_y
_atom_site_fract_z
Y1 Y 0.0000 0.0000 0.1688
Y2 Y 0.0000 0.0000 0.8312
Y3 Y 0.5000 0.5000 0.3312
Y4 Y 0.5000 0.5000 0.6688
Be1 Be 0.0000 0.0000 0.5000
Be2 Be 0.5000 0.5000 0.0000
Pd1 Pd 0.0000 0.0000 0.0000
Pd2 Pd 0.5000 0.5000 0.5000

=====

Record 2
# PBE CaScIF2, relaxed
# **Space-group type**: No. 123
# **Energy relative to the elements, uncorrected**: -2060.3 meV/atom
# **Total magnetization**: 1.7 μB/cell
# **D(E_F)**: 4.31 states/eV/cell
data_CaScIF2
_space_group_name_H-M_alt 'P 1'
_space_group_IT_number 1
_space_group_name_Hall 'P 1'
_cell_length_a 4.3392
_cell_length_b 4.3392
_cell_length_c 6.8900
_cell_angle_alpha 90.00
_cell_angle_beta 90.00
_cell_angle_gamma 90.00
loop_
_atom_site_label
_atom_site_type_symbol
_atom_site_fract_x
_atom_site_fract_y
_atom_site_fract_z
Ca1 Ca 0.0000 0.0000 0.0000
Sc1 Sc 0.5000 0.5000 0.5000
I1 I 0.0000 0.0000 0.5000
F1 F 0.0000 0.5000 0.0000
F2 F 0.5000 0.0000 0.0000

=====

Record 3
# PBE Er2TlRuO8, relaxed
# **Space-group type**: No. 65
# **Energy relative to the elements, uncorrected**: -1831.7 meV/atom
# **Total magnetization**: 1.0 μB/cell
# **D(E_F)**: 4.64 states/eV/cell
data_Er2TlRuO8
_space_group_name_H-M_alt 'P 1'
_space_group_IT_number 1
_space_group_name_Hall 'P 1'
_cell_length_a 4.9005
_cell_length_b 4.9005
_cell_length_c 6.9881
_cell_angle_alpha 90.00
_cell_angle_beta 90.00
_cell_angle_gamma 92.59
loop_
_atom_site_label
_atom_site_type_symbol
_atom_site_fract_x
_atom_site_fract_y
_atom_site_fract_z
Er1 Er 0.0000 0.0000 0.2451
Er2 Er 0.0000 0.0000 0.7549
Tl1 Tl 0.5000 0.5000 0.5000
Ru1 Ru 0.5000 0.5000 0.0000
O1 O 0.1964 0.1964 0.5000
O2 O 0.2168 0.2168 0.0000
O3 O 0.3138 0.6862 0.1977
O4 O 0.3138 0.6862 0.8023
O5 O 0.6862 0.3138 0.1977
O6 O 0.6862 0.3138 0.8023
O7 O 0.7832 0.7832 0.0000
O8 O 0.8036 0.8036 0.5000

=====

Record 4
# PBE PbSI3, relaxed
# **Space-group type**: No. 221
# **Energy relative to the elements, uncorrected**: 370.1 meV/atom
# **Total magnetization**: 2.7 μB/cell
# **D(E_F)**: 5.28 states/eV/cell
data_PbSI3
_space_group_name_H-M_alt 'P 1'
_space_group_IT_number 1
_space_group_name_Hall 'P 1'
_cell_length_a 6.2240
_cell_length_b 6.2240
_cell_length_c 6.2240
_cell_angle_alpha 90.00
_cell_angle_beta 90.00
_cell_angle_gamma 90.00
loop_
_atom_site_label
_atom_site_type_symbol
_atom_site_fract_x
_atom_site_fract_y
_atom_site_fract_z
Pb1 Pb 0.0000 0.0000 0.0000
S1 S 0.5000 0.5000 0.5000
I1 I 0.0000 0.0000 0.5000
I2 I 0.0000 0.5000 0.0000
I3 I 0.5000 0.0000 0.0000